# SrPuMg2Hg4, relaxed, DFT GGA-PBE
# Formation energy ... -0.3009 eV per atom
# VASP energy ... -68.45 eV/cell
# Calculated volume ... 25.362 Å³ per atom
data_SrPuMg2Hg4
_chemical_formula_sum 'Sr3 Pu3 Mg6 Hg12'
_cell_length_a 5.1811
_cell_length_b 5.1811
_cell_length_c 26.1835
_cell_angle_alpha 90.00
_cell_angle_beta 90.00
_cell_angle_gamma 120.00
_space_group_name_H-M_alt 'R -3 m'
_space_group_IT_number 166
_space_group_name_Hall '-R 3 2"'
loop_
_atom_site_label
_atom_site_type_symbol
_atom_site_fract_x
_atom_site_fract_y
_atom_site_fract_z
Sr1 Sr 0.0000 0.0000 0.0000
Pu1 Pu 0.0000 0.0000 0.5000
Mg1 Mg 0.0000 0.0000 0.2458
Hg1 Hg 0.0000 0.0000 0.1260
Hg2 Hg 0.0000 0.0000 0.3807